LaY12Er6 | PBE | relaxed

a = 9.314 Å, b = 9.314 Å, c = 9.314 Å
α = 107.73°, β = 107.73°, γ = 107.73°
Sites, in units of the cell vectors:
Er 0.689 0.689 0.263
Er 0.689 0.263 0.689
Er 0.311 0.737 0.311
Er 0.737 0.311 0.311
Er 0.311 0.311 0.737
Er 0.263 0.689 0.689
Y 0.889 0.500 0.111
Y 0.375 0.375 0.156
Y 0.156 0.375 0.375
Y 0.111 0.889 0.500
Y 0.625 0.844 0.625
Y 0.375 0.156 0.375
Y 0.889 0.111 0.500
Y 0.625 0.625 0.844
Y 0.111 0.500 0.889
Y 0.500 0.889 0.111
Y 0.844 0.625 0.625
Y 0.500 0.111 0.889
La 0.000 0.000 0.000

Values from the calculation:
DOS at the Fermi energy (states/eV/atom): 1.3060
SG: No. 166
VASP energy (eV/f.u.): -101.76
Volume (Å³/atom): 34.69
Energy of formation from the pure elements (kJ per mole of atoms): 41
M_tot (μB per formula unit): 0.00
Polymorph energy (0 for the lowest one) (kJ/mol of atoms): 26.6

Hf6Ir2S | PBE | relaxed

a = 5.900 Å, b = 6.653 Å, c = 9.260 Å
α = 90.00°, β = 92.86°, γ = 90.00°
Sites, in units of the cell vectors:
S 0.000 0.000 0.500
S 0.500 0.500 0.000
Hf 0.666 0.159 0.940
Hf 0.156 0.035 0.759
Hf 0.850 0.697 0.935
Hf 0.166 0.341 0.440
Hf 0.844 0.965 0.241
Hf 0.150 0.303 0.065
Hf 0.344 0.535 0.741
Hf 0.656 0.465 0.259
Hf 0.334 0.841 0.060
Hf 0.350 0.803 0.435
Hf 0.650 0.197 0.565
Hf 0.834 0.659 0.560
Ir 0.430 0.117 0.264
Ir 0.070 0.617 0.236
Ir 0.930 0.383 0.764
Ir 0.570 0.883 0.736

Values from the calculation:
DOS at the Fermi energy (states/eV/atom): 0.8676
SG: No. 14
VASP energy (eV/f.u.): -88.33
Volume (Å³/atom): 20.17
M_tot (μB per formula unit): 0.00

Ca2Ac12Ho | PBE | relaxed

a = 7.199 Å, b = 7.199 Å, c = 27.952 Å
α = 90.00°, β = 90.00°, γ = 90.00°
Sites, in units of the cell vectors:
Ac 0.671 0.829 0.561
Ac 0.500 0.500 0.663
Ac 0.171 0.671 0.561
Ac 0.813 0.687 0.105
Ac 0.171 0.329 0.439
Ac 0.000 0.000 0.208
Ac 0.000 0.000 0.663
Ac 0.829 0.329 0.561
Ac 0.000 0.000 0.337
Ac 0.313 0.187 0.895
Ac 0.000 0.000 0.792
Ac 0.687 0.813 0.895
Ac 0.813 0.313 0.895
Ac 0.329 0.829 0.439
Ac 0.500 0.500 0.337
Ac 0.671 0.171 0.439
Ac 0.500 0.500 0.208
Ac 0.829 0.671 0.439
Ac 0.500 0.500 0.792
Ac 0.187 0.687 0.895
Ac 0.687 0.187 0.105
Ac 0.313 0.813 0.105
Ac 0.329 0.171 0.561
Ac 0.187 0.313 0.105
Ca 0.000 0.500 0.728
Ca 0.500 0.000 0.728
Ca 0.500 0.000 0.272
Ca 0.000 0.500 0.272
Ho 0.000 0.500 0.000
Ho 0.500 0.000 0.000

Values from the calculation:
DOS at the Fermi energy (states/eV/atom): 1.4206
SG: No. 125
VASP energy (eV/f.u.): -52.55
Volume (Å³/atom): 48.28
Energy of formation from the pure elements (kJ per mole of atoms): 34
M_tot (μB per formula unit): 0.00

BaPtSe | PBE | relaxed

a = 5.576 Å, b = 4.521 Å, c = 8.199 Å
α = 56.51°, β = 90.00°, γ = 90.00°
Sites, in units of the cell vectors:
Ba 0.641 0.493 0.339
Ba 0.141 0.940 0.892
Pt 0.391 0.717 0.615
Pt 0.891 0.717 0.615
Se 0.141 0.019 0.312
Se 0.641 0.414 0.919

Values from the calculation:
DOS at the Fermi energy (states/eV/atom): 0.1077
SG: No. 51
VASP energy (eV/f.u.): -15.01
Volume (Å³/atom): 28.73
M_tot (μB per formula unit): 0.00

CaTc2Rh | PBE | relaxed

a = 2.801 Å, b = 4.341 Å, c = 6.032 Å
α = 90.00°, β = 90.00°, γ = 90.00°
Sites, in units of the cell vectors:
Rh 0.500 0.500 0.750
Tc 0.000 0.000 0.566
Tc 0.000 0.000 0.934
Ca 0.500 0.500 0.250

Values from the calculation:
DOS at the Fermi energy (states/eV/atom): 1.2947
SG: No. 47
VASP energy (eV/f.u.): -28.28
Volume (Å³/atom): 18.34
Energy of formation from the pure elements (kJ per mole of atoms): 44
M_tot (μB per formula unit): 0.00
Polymorph energy (0 for the lowest one) (kJ/mol of atoms): 27.1

Pr2HoTl2Cd2 | PBE | relaxed

a = 5.017 Å, b = 5.017 Å, c = 9.769 Å
α = 75.12°, β = 75.12°, γ = 60.00°
Sites, in units of the cell vectors:
Ho 0.000 0.000 0.000
Tl 0.739 0.739 0.784
Tl 0.261 0.261 0.216
Cd 0.387 0.387 0.839
Cd 0.613 0.613 0.161
Pr 0.874 0.874 0.378
Pr 0.126 0.126 0.622

Values from the calculation:
DOS at the Fermi energy (states/eV/atom): 0.7759
SG: No. 166
VASP energy (eV/f.u.): -21.87
Volume (Å³/atom): 29.05
Energy of formation from the pure elements (kJ per mole of atoms): -16
M_tot (μB per formula unit): 0.00

KNbPb2 | PBE | relaxed

a = 5.362 Å, b = 5.362 Å, c = 5.362 Å
α = 60.00°, β = 60.00°, γ = 60.00°
Each line ends with the local moment (μB).
Sites, in units of the cell vectors:
K 0.000 0.000 0.000  0.01
Pb 0.750 0.750 0.750  -0.01
Pb 0.250 0.250 0.250  -0.01
Nb 0.500 0.500 0.500  2.10

Values from the calculation:
DOS at the Fermi energy (states/eV/atom): 1.0414
SG: No. 225
VASP energy (eV/f.u.): -16.33
Volume (Å³/atom): 27.26
Energy of formation from the pure elements (kJ per mole of atoms): 54
M_tot (μB per formula unit): 2.74
Polymorph energy (0 for the lowest one) (kJ/mol of atoms): 0.0

NaSrHgS2 | PBE | relaxed

a = 4.769 Å, b = 7.368 Å, c = 7.845 Å
α = 103.10°, β = 90.00°, γ = 90.00°
Sites, in units of the cell vectors:
Na 0.512 0.000 0.750
Na 0.488 0.000 0.250
S 0.670 0.700 0.972
S 0.330 0.700 0.472
S 0.670 0.300 0.528
S 0.330 0.300 0.028
Sr 0.821 0.500 0.250
Sr 0.179 0.500 0.750
Hg 0.000 0.000 0.000
Hg 0.000 0.000 0.500

Values from the calculation:
DOS at the Fermi energy (states/eV/atom): 0.2255
SG: No. 13
VASP energy (eV/f.u.): -16.43
Volume (Å³/atom): 26.85
M_tot (μB per formula unit): 0.00

PuGaSnSb | PBE | relaxed

a = 4.581 Å, b = 4.458 Å, c = 4.670 Å
α = 90.00°, β = 90.00°, γ = 90.00°
Each line ends with the local moment (μB).
Sites, in units of the cell vectors:
Sn 0.000 0.000 0.000  0.02
Pu 0.500 0.000 0.500  -5.26
Ga 0.500 0.500 0.000  -0.02
Sb 0.000 0.500 0.500  0.06

Values from the calculation:
DOS at the Fermi energy (states/eV/atom): 2.2242
SG: No. 47
VASP energy (eV/f.u.): -27.04
Volume (Å³/atom): 23.84
M_tot (μB per formula unit): 5.40

Mn2TcSb | PBE | relaxed

a = 3.021 Å, b = 3.766 Å, c = 5.425 Å
α = 90.00°, β = 90.00°, γ = 90.00°
Each line ends with the local moment (μB).
Sites, in units of the cell vectors:
Sb 0.500 0.500 0.250  -0.04
Tc 0.500 0.500 0.750  -0.42
Mn 0.000 0.000 0.974  2.63
Mn 0.000 0.000 0.526  2.63

Values from the calculation:
DOS at the Fermi energy (states/eV/atom): 0.9996
SG: No. 47
VASP energy (eV/f.u.): -31.97
Volume (Å³/atom): 15.43
M_tot (μB per formula unit): 4.94

Fe3Ge | PBE | relaxed

a = 5.135 Å, b = 5.135 Å, c = 4.213 Å
α = 90.00°, β = 90.00°, γ = 120.00°
Each line ends with the local moment (μB).
Sites, in units of the cell vectors:
Ge 0.667 0.333 0.750  -0.13
Ge 0.333 0.667 0.250  -0.13
Fe 0.325 0.162 0.250  2.21
Fe 0.162 0.838 0.750  2.21
Fe 0.838 0.675 0.250  2.21
Fe 0.162 0.325 0.750  2.21
Fe 0.838 0.162 0.250  2.21
Fe 0.675 0.838 0.750  2.21

Values from the calculation:
DOS at the Fermi energy (states/eV/atom): 0.5999
SG: No. 194
VASP energy (eV/f.u.): -30.37
Volume (Å³/atom): 12.03
Energy of formation from the pure elements (kJ per mole of atoms): -9
M_tot (μB per formula unit): 6.48

AcEuEr2 | PBE | relaxed

a = 5.197 Å, b = 5.263 Å, c = 5.263 Å
α = 90.00°, β = 90.00°, γ = 90.00°
Each line ends with the local moment (μB).
Sites, in units of the cell vectors:
Er 0.000 0.000 0.500  0.05
Er 0.000 0.500 0.000  0.05
Eu 0.500 0.500 0.500  6.85
Ac 0.500 0.000 0.000  0.01

Values from the calculation:
DOS at the Fermi energy (states/eV/atom): 1.7284
SG: No. 123
VASP energy (eV/f.u.): -23.05
Volume (Å³/atom): 35.99
Energy of formation from the pure elements (kJ per mole of atoms): 11
M_tot (μB per formula unit): 7.31
Polymorph energy (0 for the lowest one) (kJ/mol of atoms): 1.0